1.
# K4LiF5 (PBE, optimized geometry)
# Volume in Å³ per cell: 356.2
data_K4LiF5
_symmetry_space_group_name_H-M 'I 4'
_symmetry_Int_Tables_number 79
_cell_length_a 8.123
_cell_length_b 8.123
_cell_length_c 5.398
_cell_angle_alpha 90.00
_cell_angle_beta 90.00
_cell_angle_gamma 90.00
loop_
_symmetry_equiv_pos_as_xyz
'x,y,z'
'-y,x,z'
'-x,-y,z'
'y,-x,z'
'x+1/2,y+1/2,z+1/2'
'-y+1/2,x+1/2,z+1/2'
'-x+1/2,-y+1/2,z+1/2'
'y+1/2,-x+1/2,z+1/2'
loop_
_atom_site_label
_atom_site_fract_x
_atom_site_fract_y
_atom_site_fract_z
_atom_site_occupancy
K1 0.098 0.705 0.000 1
Li1 0.000 0.000 0.559 1
F1 0.000 0.000 0.910 1
F2 0.084 0.735 0.495 1

***

2.
# K2Li2F5 (PBE, optimized geometry)
# Volume in Å³ per cell: 128.5
data_K2Li2F5
_symmetry_space_group_name_H-M 'P 4/m m m'
_symmetry_Int_Tables_number 123
_symmetry_space_group_name_Hall '-P 4 2'
_cell_length_a 3.912
_cell_length_b 3.912
_cell_length_c 8.400
_cell_angle_alpha 90.00
_cell_angle_beta 90.00
_cell_angle_gamma 90.00
loop_
_atom_site_label
_atom_site_fract_x
_atom_site_fract_y
_atom_site_fract_z
_atom_site_occupancy
K1 0.000 0.000 0.000 1
K2 0.000 0.000 0.500 1
Li1 0.500 0.500 0.224 1
F1 0.000 0.500 0.278 1
F2 0.500 0.500 0.000 1

***

3.
# K3Li2F7 (PBE, optimized geometry)
# Volume in Å³ per cell: 353.4
data_K3Li2F7
_symmetry_space_group_name_H-M 'C m m m'
_symmetry_Int_Tables_number 65
_symmetry_space_group_name_Hall '-C 2 2'
_cell_length_a 4.053
_cell_length_b 23.113
_cell_length_c 3.773
_cell_angle_alpha 90.00
_cell_angle_beta 90.00
_cell_angle_gamma 90.00
loop_
_atom_site_label
_atom_site_fract_x
_atom_site_fract_y
_atom_site_fract_z
_atom_site_occupancy
K1 0.000 0.000 0.000 1
K2 0.000 0.180 0.000 1
Li1 0.000 0.419 0.500 1
F1 0.000 0.096 0.500 1
F2 0.000 0.268 0.500 1
F3 0.000 0.396 0.000 1
F4 0.000 0.500 0.500 1

***

4.
# KLi2F3 (PBE, optimized geometry)
# Volume in Å³ per cell: 143.3
data_KLi2F3
_symmetry_space_group_name_H-M 'P m c 21'
_symmetry_Int_Tables_number 26
_cell_length_a 3.007
_cell_length_b 9.043
_cell_length_c 5.269
_cell_angle_alpha 90.00
_cell_angle_beta 90.00
_cell_angle_gamma 90.00
loop_
_symmetry_equiv_pos_as_xyz
'x,y,z'
'-x,-y,z+1/2'
'-x,y,z'
'x,-y,z+1/2'
loop_
_atom_site_label
_atom_site_fract_x
_atom_site_fract_y
_atom_site_fract_z
_atom_site_occupancy
K1 0.000 0.132 0.000 1
Li1 0.000 0.263 0.490 1
Li2 0.500 0.474 0.973 1
F1 0.000 0.402 0.754 1
F2 0.500 0.109 0.587 1
F3 0.500 0.331 0.261 1

***

5.
# KLiF2 (PBE, optimized geometry)
# Volume in Å³ per cell: 194.7
data_KLiF2
_symmetry_space_group_name_H-M 'R -3 m'
_symmetry_Int_Tables_number 166
_symmetry_space_group_name_Hall '-R 3 2"'
_cell_length_a 3.3299
_cell_length_b 3.3299
_cell_length_c 20.2748
_cell_angle_alpha 90.00
_cell_angle_beta 90.00
_cell_angle_gamma 120.00
loop_
_atom_site_label
_atom_site_fract_x
_atom_site_fract_y
_atom_site_fract_z
_atom_site_occupancy
K1 0.0000 0.0000 0.0000 1
Li1 0.0000 0.0000 0.5000 1
F1 0.0000 0.0000 0.1131 1

***

6.
# KLiF2 (PBE, optimized geometry)
# Volume in Å³ per cell: 252.3
data_KLiF2
_symmetry_space_group_name_H-M 'R -3 m'
_symmetry_Int_Tables_number 166
_symmetry_space_group_name_Hall '-R 3 2"'
_cell_length_a 3.9018
_cell_length_b 3.9018
_cell_length_c 19.1324
_cell_angle_alpha 90.00
_cell_angle_beta 90.00
_cell_angle_gamma 120.00
loop_
_atom_site_label
_atom_site_fract_x
_atom_site_fract_y
_atom_site_fract_z
_atom_site_occupancy
K1 0.0000 0.0000 0.0000 1
Li1 0.0000 0.0000 0.5000 1
F1 0.0000 0.0000 0.4102 1

***

7.
# K3Li2MgF6 (PBE, optimized geometry)
# Volume in Å³ per cell: 210.8
data_K3Li2MgF6
_symmetry_space_group_name_H-M 'P -3 m 1'
_symmetry_Int_Tables_number 164
_symmetry_space_group_name_Hall '-P 3 2"'
_cell_length_a 5.8085
_cell_length_b 5.8085
_cell_length_c 7.2145
_cell_angle_alpha 90.00
_cell_angle_beta 90.00
_cell_angle_gamma 120.00
loop_
_atom_site_label
_atom_site_fract_x
_atom_site_fract_y
_atom_site_fract_z
_atom_site_occupancy
K1 0.0000 0.0000 0.0000 1
K2 0.3333 0.6667 0.6536 1
Li1 0.3333 0.6667 0.2439 1
Mg1 0.0000 0.0000 0.5000 1
F1 0.1619 0.3238 0.3331 1

***

8.
# KLi2Mg2F7 (PBE, optimized geometry)
# Volume in Å³ per cell: 275.3
data_KLi2Mg2F7
_symmetry_space_group_name_H-M 'I 4/m m m'
_symmetry_Int_Tables_number 139
_symmetry_space_group_name_Hall '-I 4 2'
_cell_length_a 4.030
_cell_length_b 4.030
_cell_length_c 16.957
_cell_angle_alpha 90.00
_cell_angle_beta 90.00
_cell_angle_gamma 90.00
loop_
_atom_site_label
_atom_site_fract_x
_atom_site_fract_y
_atom_site_fract_z
_atom_site_occupancy
K1 0.000 0.000 0.000 1
Li1 0.000 0.500 0.250 1
Mg1 0.000 0.000 0.383 1
F1 0.000 0.000 0.265 1
F2 0.000 0.000 0.500 1
F3 0.000 0.500 0.122 1

***

Result set for raw formation energy: -27.035; -22.673; -28.211; -16.643; -9.347; -10.617; -32.873; -38.802 eV per formula unit, one per record in the order listed.
Result set for density of states at the Fermi level: 0.000; 8.338; 19.016; 0.000; 0.000; 0.000; 1.239; 0.000 states/eV per cell, one per record in the order listed.
Result set for E_tot: -85.39; -38.05; -96.86; -54.36; -48.30; -52.11; -52.82; -120.03 eV for the cell shown, one per record in the order listed.